(1)
Below is crystalline La4Pm3Ni2 at its relaxed geometry, with properties calculated at the PBE level.

Calculated values
Spin magnetization in μB/f.u.: 0.0
D(E_F) in states/eV per cell: 26.31
Energy relative to the elements in eV per atom: -0.1194
Calculated volume in Å³/atom: 30.77

abc: 17.3269 3.7727 9.3389
angles: 90.00 114.87 90.00
Last column: nearest neighbours and their distance in Å.
Space group C2/m (No. 12)
Unique sites:
La1 0.1334 0.0000 0.3898 x4  7 La 3.76-4.14, 6 Pm 3.78-3.93, 2 Ni 4.03-4.13
La2 0.2280 0.5000 0.1541 x4  2 Ni 2.82
Pm1 0.0000 0.5000 0.0000 x2  4 Ni 2.94
Pm2 0.0701 0.5000 0.6934 x4  2 Ni 2.86
Ni1 0.1154 0.0000 0.9456 x4  2 La 2.82, 4 Pm 2.86-2.94

=====

(2)
Below is crystalline NdHoS at its relaxed geometry, with properties calculated at the PBE level.

Calculated values
Spin magnetization in μB/f.u.: 0.0
Formation energy without anion corrections in eV per atom: -1.22
D(E_F) in states/eV per cell: 4.70
Offset from the most stable computed form in eV/atom: 0.034
Calculated volume in Å³/atom: 27.69

abc: 3.8424 3.8424 12.9918
angles: 90.00 90.00 120.00
Last column: nearest neighbours and their distance in Å.
Space group P-3m1 (No. 164)
Unique sites:
Nd1 0.0000 0.0000 0.1360 x2  3 S 2.80
Ho1 0.3333 0.6667 0.3863 x2  3 S 2.70
S1 0.3333 0.6667 0.7326 x2  3 Ho 2.70, 3 Nd 2.80

=====

(3)
Below is crystalline Ta5CoMo4 at its relaxed geometry, with properties calculated at the PBE level.

Calculated values
Spin magnetization in μB/f.u.: 0.0
D(E_F) in states/eV per cell: 6.85
Energy relative to the elements in eV per atom: -0.1831
Calculated volume in Å³/atom: 16.42

abc: 3.2170 3.2170 15.8685
angles: 90.00 90.00 90.00
Last column: nearest neighbours and their distance in Å.
Space group P4/mmm (No. 123)
Unique sites:
Ta1 0.0000 0.0000 0.0000 x1  8 Mo 2.79
Ta2 0.0000 0.0000 0.2049 x2  8 Mo 2.80
Ta3 0.0000 0.0000 0.4059 x2  4 Co 2.72, 4 Mo 2.76, 1 Ta 2.99
Co1 0.5000 0.5000 0.5000 x1  8 Ta 2.72
Mo1 0.5000 0.5000 0.1021 x2  8 Ta 2.79-2.80
Mo2 0.5000 0.5000 0.3077 x2  8 Ta 2.76-2.80, 1 Co 3.05

=====

(4)
Below is crystalline LiGeTe2 at its relaxed geometry, with properties calculated at the PBE level.

Calculated values
Spin magnetization in μB/f.u.: 0.0
Formation energy without anion corrections in eV per atom: -0.39
D(E_F) in states/eV per cell: 0.00
Calculated volume in Å³/atom: 29.34

abc: 7.3428 9.2500 11.4799
angles: 75.69 77.10 70.62
Last column: nearest neighbours and their distance in Å.
Space group P-1 (No. 2)
Unique sites:
Li1 0.0000 0.0000 0.0000 x1  6 Te 3.04-3.11
Li2 0.0088 0.3468 0.6898 x2  5 Te 2.95-3.14
Li3 0.4732 0.3202 0.1787 x2  6 Te 2.98-3.15
Li4 0.5000 0.0000 0.5000 x1  6 Te 3.05-3.25
Ge1 0.0380 0.0398 0.2934 x2  1 Ge 2.47, 3 Te 2.56-2.65
Ge2 0.0474 0.7416 0.5971 x2  1 Ge 2.47, 3 Te 2.56-2.66
Ge3 0.0664 0.6107 0.9498 x2  1 Ge 2.48, 3 Te 2.56-2.68
Te1 0.2451 0.3333 0.4276 x2  1 Ge 2.56
Te2 0.2494 0.1497 0.0928 x2  2 Ge 2.65-2.66
Te3 0.2567 0.0124 0.7528 x2  1 Ge 2.56
Te4 0.2668 0.6673 0.0802 x2  1 Ge 2.56
Te5 0.2743 0.5203 0.7428 x2  2 Ge 2.66-2.68
Te6 0.3006 0.7992 0.3994 x2  2 Ge 2.65-2.66

=====

(5)
Below is crystalline CsSrAl2F8 at its relaxed geometry, with properties calculated at the PBE level.

Calculated values
Spin magnetization in μB/f.u.: 0.0
Formation energy without anion corrections in eV per atom: -3.28
D(E_F) in states/eV per cell: 5.66
Calculated volume in Å³/atom: 21.82

abc: 5.6629 5.6629 28.2798
angles: 90.00 90.00 120.00
Last column: nearest neighbours and their distance in Å.
Space group R-3 (No. 148, hexagonal axes)
Unique sites:
Cs1 0.0000 0.0000 0.0000 x3  12 F 3.37-3.75
Sr1 0.0000 0.0000 0.5000 x3  6 F 2.50
Al1 0.0000 0.0000 0.2447 x6  4 F 1.71-1.72
F1 0.0000 0.0000 0.3051 x6  1 Al 1.71
F2 0.0191 0.6127 0.8938 x18  1 Al 1.72

=====

(6)
Below is crystalline Nd3SmPd3 at its relaxed geometry, with properties calculated at the PBE level.

Calculated values
Spin magnetization in μB/f.u.: 0.0
D(E_F) in states/eV per cell: 25.12
Energy relative to the elements in eV per atom: -0.6028
Calculated volume in Å³/atom: 26.60

abc: 9.5449 10.7324 7.2722
angles: 90.00 91.43 90.00
Last column: nearest neighbours and their distance in Å.
Space group C2/m (No. 12)
Unique sites:
Nd1 0.0000 0.1768 0.0000 x4  6 Pd 2.90-3.07
Nd2 0.0000 0.2518 0.5000 x4  6 Pd 3.10-3.16
Nd3 0.1552 0.5000 0.8720 x4  3 Pd 3.01-3.03
Sm1 0.2420 0.5000 0.3761 x4  4 Pd 2.85-3.11
Pd1 0.0628 0.0000 0.3107 x4  2 Sm 2.91-3.11, 5 Nd 3.00-3.10, 1 Pd 3.03
Pd2 0.2407 0.2563 0.2206 x8  1 Sm 2.85, 5 Nd 2.90-3.16

=====

(7)
Below is crystalline BaScMo4 at its relaxed geometry, with properties calculated at the PBE level.

Calculated values
Spin magnetization in μB/f.u.: 0.0
D(E_F) in states/eV per cell: 24.79
Energy relative to the elements in eV per atom: 0.5960
Calculated volume in Å³/atom: 20.09

abc: 7.8418 7.8418 7.8418
angles: 90.00 90.00 90.00
Last column: nearest neighbours and their distance in Å.
Space group F-43m (No. 216)
Unique sites:
Ba1 0.0000 0.0000 0.0000 x4  12 Mo 3.25, 4 Sc 3.40
Sc1 0.2500 0.2500 0.2500 x4  12 Mo 3.25, 4 Ba 3.40
Mo1 0.1249 0.1249 0.6249 x16  6 Mo 2.77-2.78

=====

Repeat the fourth record exactly.
Below is crystalline LiGeTe2 at its relaxed geometry, with properties calculated at the PBE level.

Calculated values
Spin magnetization in μB/f.u.: 0.0
Formation energy without anion corrections in eV per atom: -0.39
D(E_F) in states/eV per cell: 0.00
Calculated volume in Å³/atom: 29.34

abc: 7.3428 9.2500 11.4799
angles: 75.69 77.10 70.62
Last column: nearest neighbours and their distance in Å.
Space group P-1 (No. 2)
Unique sites:
Li1 0.0000 0.0000 0.0000 x1  6 Te 3.04-3.11
Li2 0.0088 0.3468 0.6898 x2  5 Te 2.95-3.14
Li3 0.4732 0.3202 0.1787 x2  6 Te 2.98-3.15
Li4 0.5000 0.0000 0.5000 x1  6 Te 3.05-3.25
Ge1 0.0380 0.0398 0.2934 x2  1 Ge 2.47, 3 Te 2.56-2.65
Ge2 0.0474 0.7416 0.5971 x2  1 Ge 2.47, 3 Te 2.56-2.66
Ge3 0.0664 0.6107 0.9498 x2  1 Ge 2.48, 3 Te 2.56-2.68
Te1 0.2451 0.3333 0.4276 x2  1 Ge 2.56
Te2 0.2494 0.1497 0.0928 x2  2 Ge 2.65-2.66
Te3 0.2567 0.0124 0.7528 x2  1 Ge 2.56
Te4 0.2668 0.6673 0.0802 x2  1 Ge 2.56
Te5 0.2743 0.5203 0.7428 x2  2 Ge 2.66-2.68
Te6 0.3006 0.7992 0.3994 x2  2 Ge 2.65-2.66